Run P
The following is a DFT calculation (PBEsol) of a relaxed structure of Ca2MnO4.

Structure (POSCAR):
```
Ca2MnO4
1.0
-2.4143 3.4789 -2.9237
-4.5443 -1.8377 1.5659
3.5133 6.9433 9.8892
O Ca Mn
16 8 4
Cartesian
-3.4507 7.3387 7.0534 O
-1.1847 6.8673 4.6213 O
-2.0801 4.3766 4.1959 O
-5.1095 1.5040 -1.2490 O
0.0285 6.5181 7.7323 O
-1.1956 4.3756 1.6653 O
-2.2497 4.2090 6.8661 O
-2.5893 2.0655 -1.7315 O
-0.4061 2.8259 5.4969 O
-2.2606 1.7173 3.9101 O
-4.8445 5.0286 3.6565 O
-1.8491 0.1372 -0.1088 O
0.4401 4.9380 3.7134 O
-4.3692 -0.4242 0.3737 O
0.0055 1.2459 1.4780 O
-3.4738 2.0665 0.7991 O
-3.4572 5.8606 5.3000 Ca
0.0119 2.7240 3.2314 Ca
-1.2021 2.8975 -0.0881 Ca
-2.2432 5.6871 8.6195 Ca
-3.4674 3.5446 2.5525 Ca
-1.1782 8.3454 6.3747 Ca
0.0221 5.0400 5.9789 Ca
-2.2671 0.2392 2.1567 Ca
-2.2551 2.9631 5.3881 Mn
-3.4793 0.8206 -0.6789 Mn
0.0000 0.0000 0.0000 Mn
-1.1901 5.6214 3.1433 Mn
```

SG: I4_1/acd (142)

Run Q
The following is a DFT calculation (PBEsol) of a relaxed structure of Ca2MnO4.

Structure (POSCAR):
```
Ca2MnO4
1.0
-2.9642 0.4791 -2.1468
-1.2032 -3.3689 0.9095
-0.8369 3.7134 5.1576
Ca O Mn
2 4 1
Cartesian
-4.1602 0.1679 2.6084 Ca
-0.8442 0.6557 1.3119 Ca
-0.6016 -1.6845 0.4548 O
-1.4821 0.2396 -1.0734 O
-3.0348 -0.7062 0.8594 O
-1.9695 1.5298 3.0608 O
-2.0837 -1.4449 -0.6186 Mn
```

SG: I4/mmm (139)

Most stable to least stable, the ends of the list are run P and run Q.

Run P
The following is a DFT calculation (PBEsol) of a relaxed structure of Ca2TiMnO6.

Structure (POSCAR):
```
Ca2TiMnO6
1.0
5.2719 0.0000 0.0000
-2.6359 4.6391 -0.0058
0.0000 3.0009 4.3344
O Mn Ca Ti
6 1 2 1
Cartesian
1.6254 2.4010 3.4679 O
4.2179 2.0757 2.9981 O
3.6465 0.5999 0.8665 O
0.0000 4.5958 3.2302 O
1.0540 0.9252 1.3364 O
2.6359 3.0442 1.0984 O
2.6359 1.5005 2.1672 Mn
0.0000 3.0698 1.0807 Ca
2.6359 4.5702 3.2479 Ca
0.0000 0.0000 0.0000 Ti
```

SG: I4/m (87)

Run Q
The following is a DFT calculation (PBEsol) of a relaxed structure of Ca2TiMnO6.

Structure (POSCAR):
```
Ca2TiMnO6
1.0
-3.7475 2.1393 -3.0532
2.6878 -1.5195 -4.3636
-3.7194 -6.5133 -0.0229
Ca O Ti Mn
4 12 2 2
Cartesian
-4.5255 -3.8880 -1.6920 Ca
-0.2536 -2.0054 -5.7479 Ca
-1.3713 -5.6919 -2.3952 Ca
-3.4077 -0.2016 -5.0446 Ca
-1.1815 0.3698 -5.5459 O
-1.1400 -1.4731 -0.2810 O
-3.7937 -1.8341 -3.1134 O
-3.5975 -6.2633 -1.8939 O
-1.1742 -1.5162 -3.5612 O
-2.0246 -3.4776 -1.9433 O
-0.9853 -4.0594 -4.3265 O
-2.7545 -2.4158 -5.4965 O
-3.6048 -4.3773 -3.8786 O
-3.6390 -4.4204 -7.1588 O
-2.5187 -6.8675 -4.3414 O
-2.2604 0.9740 -3.0984 O
-1.8597 -3.2566 -0.0115 Ti
-0.5298 0.3099 -3.7084 Ti
-2.3895 -2.9467 -3.7199 Mn
0.0000 0.0000 0.0000 Mn
```

SG: P2_1/c (14)

Most stable to least stable, the ends of the list are run Q and run P.

Run P
The following is a DFT calculation (PBEsol) of a relaxed structure of CaMnRu2.

Structure (POSCAR):
```
CaMnRu2
1.0
2.8514 0.0000 0.0000
1.4257 2.4694 0.0000
1.4257 0.8231 8.6726
Ru Ca Mn
2 1 1
Cartesian
1.4257 0.8231 1.8842 Ru
4.2771 2.4694 6.7883 Ru
2.8514 1.6463 4.3363 Ca
0.0000 0.0000 0.0000 Mn
```

SG: R-3m (166)

Run Q
The following is a DFT calculation (PBEsol) of a relaxed structure of CaMnRu2.

Structure (POSCAR):
```
CaMnRu2
1.0
-2.8586 -0.0718 -1.0235
0.9790 -1.0974 -2.6574
-0.7052 -6.5033 2.4258
Ca Ru Mn
1 2 1
Cartesian
-0.3525 -3.2502 1.2123 Ca
-1.0779 -1.8584 -1.3653 Ru
-0.6879 -6.3436 2.3662 Ru
-1.5243 -5.9752 0.1703 Mn
```

SG: P4mm (99)

Most stable to least stable, the ends of the list are run Q and run P.

Run P
The following is a DFT calculation (PBEsol) of a relaxed structure of CaMnRu2.

Structure (POSCAR):
```
CaMnRu2
1.0
-2.6623 0.9286 -0.0287
0.0108 -4.1805 2.2513
1.1613 3.4419 3.6393
Ru Mn Ca
2 1 1
Cartesian
-1.1218 1.1722 3.4743 Ru
-0.3683 -0.9822 2.3875 Ru
0.5807 1.7210 1.8196 Mn
-1.3311 0.4643 -0.0143 Ca
```

SG: C2/m (12)

Run Q
The following is a DFT calculation (PBEsol) of a relaxed structure of CaMnRu2.

Structure (POSCAR):
```
CaMnRu2
1.0
4.4377 0.0000 0.0000
2.2188 3.8431 0.0000
2.2188 1.2810 3.6233
Ru Mn Ca
2 1 1
Cartesian
0.0000 0.0000 0.0000 Ru
6.6565 3.8431 2.7175 Ru
2.2188 1.2810 0.9058 Mn
4.4377 2.5621 1.8117 Ca
```

SG: F-43m (216)

Most stable to least stable, the ends of the list are run P and run Q.

Run P
The following is a DFT calculation (PBEsol) of a relaxed structure of CaMnSe2.

Structure (POSCAR):
```
CaMnSe2
1.0
3.9169 0.0000 0.0000
-1.9585 3.3911 0.0333
0.0000 -0.0663 6.6671
Ca Mn Se
1 1 2
Cartesian
1.9585 0.8312 1.6750 Ca
1.9585 0.7985 5.0085 Mn
1.9585 3.0436 6.5175 Se
0.0000 1.9433 3.5333 Se
```

SG: P-3m1 (164)

Run Q
The following is a DFT calculation (PBEsol) of a relaxed structure of CaMnSe2.

Structure (POSCAR):
```
CaMnSe2
1.0
-1.4939 -1.8206 3.2134
0.3874 -3.5249 -1.8154
5.1823 -0.5197 2.1148
Se Ca Mn
2 1 1
Cartesian
1.8032 -2.7215 2.3834 Se
0.1510 -3.3118 -1.1839 Se
-0.7898 -2.4596 1.3310 Ca
2.7455 -3.5700 -0.1342 Mn
```

SG: Amm2 (38)

Run R
The following is a DFT calculation (PBEsol) of a relaxed structure of CaMnSe2.

Structure (POSCAR):
```
CaMnSe2
1.0
3.9818 0.0000 0.0000
1.9909 3.4483 0.0000
1.9909 1.1494 6.4377
Se Ca Mn
2 1 1
Cartesian
1.9909 1.1494 1.7766 Se
5.9726 3.4483 4.6611 Se
0.0000 0.0000 0.0000 Ca
3.9818 2.2989 3.2188 Mn
```

SG: R-3m (166)

Most stable to least stable, the ends of the list are run R and run Q.

Run P
The following is a DFT calculation (PBEsol) of a relaxed structure of CaMnW2.

Structure (POSCAR):
```
CaMnW2
1.0
-1.1719 2.3526 -1.3830
-4.1920 -1.1816 1.5422
3.3668 2.0388 3.8042
Ca W Mn
1 2 1
Cartesian
-2.0960 -0.5908 0.7711 Ca
0.3074 1.1767 1.7411 W
-2.3046 2.0331 2.2223 W
-0.5860 1.1763 -0.6915 Mn
```

SG: Immm (71)

Run Q
The following is a DFT calculation (PBEsol) of a relaxed structure of CaMnW2.

Structure (POSCAR):
```
CaMnW2
1.0
-1.3939 2.0580 -3.8119
-1.1670 -2.4834 -3.6304
-4.3628 -0.2686 -1.2660
W Ca Mn
2 1 1
Cartesian
-5.1928 -0.5205 -6.5312 W
0.0000 0.0000 0.0000 W
-3.4618 -0.3470 -4.3541 Ca
-1.7309 -0.1735 -2.1771 Mn
```

SG: F-43m (216)

Run R
The following is a DFT calculation (PBEsol) of a relaxed structure of CaMnW2.

Structure (POSCAR):
```
CaMnW2
1.0
2.9895 0.0000 0.0000
0.0000 4.8140 0.0000
-1.4947 -2.4070 4.5298
W Ca Mn
2 1 1
Cartesian
0.0000 2.4070 2.4155 W
0.0000 0.0000 0.2079 W
0.0000 0.0000 4.3953 Ca
1.4947 0.0000 2.0409 Mn
```

SG: Imm2 (44)

Most stable to least stable, the ends of the list are run P and run R.

Run P
The following is a DFT calculation (PBEsol) of a relaxed structure of CaYMn.

Structure (POSCAR):
```
CaYMn
1.0
-3.1290 -3.7129 -0.8738
1.0066 -3.2949 -3.5313
1.2480 -4.6156 1.2161
Mn Ca Y
1 1 1
Cartesian
-0.6558 -8.7176 -2.3918 Mn
-0.4372 -5.8117 -1.5945 Ca
0.0000 0.0000 0.0000 Y
```

SG: F-43m (216)

Run Q
The following is a DFT calculation (PBEsol) of a relaxed structure of CaYMn.

Structure (POSCAR):
```
CaYMn
1.0
3.4954 0.0000 0.0000
0.0000 3.4954 0.0000
-1.7477 -1.7477 6.4820
Ca Mn Y
1 1 1
Cartesian
1.7477 1.7477 6.1557 Ca
0.0000 0.0000 4.2006 Mn
1.7477 1.7477 2.6077 Y
```

SG: I4mm (107)

Most stable to least stable, the ends of the list are run Q and run P.

Run P
The following is a DFT calculation (PBEsol) of a relaxed structure of Ca2NiMo.

Structure (POSCAR):
```
Ca2NiMo
1.0
-2.0997 -1.4020 4.2286
2.7985 -1.5604 3.7402
0.4922 2.7813 4.0346
Ca Mo Ni
2 1 1
Cartesian
0.8932 -0.1358 9.0025 Ca
0.2977 -0.0453 3.0008 Ca
0.0000 0.0000 0.0000 Mo
0.5955 -0.0906 6.0017 Ni
```

SG: Fm-3m (225)

Run Q
The following is a DFT calculation (PBEsol) of a relaxed structure of Ca2NiMo.

Structure (POSCAR):
```
Ca2NiMo
1.0
-0.8368 0.6774 -2.9649
2.0977 -2.0984 -1.0715
-6.1452 -6.2946 0.2969
Ca Ni Mo
2 1 1
Cartesian
-3.6000 -5.0437 -1.8138 Ca
-1.2872 0.2159 -2.9427 Ca
-1.2519 -2.6385 -1.9274 Ni
-2.6547 -2.7190 0.1279 Mo
```

SG: P4mm (99)

Most stable to least stable, the ends of the list are run Q and run P.

Run P
The following is a DFT calculation (PBEsol) of a relaxed structure of CaMoOs2.

Structure (POSCAR):
```
CaMoOs2
1.0
-2.7073 0.3181 -1.3654
-0.4137 -3.0183 0.1170
-3.2062 0.6922 6.5185
Os Mo Ca
2 1 1
Cartesian
-2.2640 0.4888 4.6028 Os
-0.9423 0.2034 1.9157 Os
-3.1636 -1.0040 2.6350 Mo
-1.5605 -1.3501 -0.6242 Ca
```

SG: P4/mmm (123)

Run Q
The following is a DFT calculation (PBEsol) of a relaxed structure of CaMoOs2.

Structure (POSCAR):
```
CaMoOs2
1.0
4.4764 0.0000 0.0000
2.2382 3.8766 0.0000
2.2382 1.2922 3.6549
Mo Os Ca
1 2 1
Cartesian
4.4764 2.5844 1.8275 Mo
2.2382 1.2922 0.9137 Os
6.7145 3.8766 2.7412 Os
0.0000 0.0000 0.0000 Ca
```

SG: Fm-3m (225)

Most stable to least stable, the ends of the list are run P and run Q.

Run P
The following is a DFT calculation (PBEsol) of a relaxed structure of CaMoP2.

Structure (POSCAR):
```
CaMoP2
1.0
-1.8713 -2.1076 -2.0536
3.2821 -1.7796 -1.1642
-0.4463 -3.3149 3.8088
Ca Mo P
1 1 2
Cartesian
0.0000 0.0000 0.0000 Ca
0.4822 -3.6011 0.2955 Mo
0.7054 -1.9436 -1.6089 P
-0.2232 -1.6574 1.9044 P
```

SG: Pmmm (47)

Run Q
The following is a DFT calculation (PBEsol) of a relaxed structure of CaMoP2.

Structure (POSCAR):
```
CaMoP2
1.0
3.7392 0.0000 0.0000
0.0000 3.7392 0.0000
-1.8696 -1.8696 4.7162
Mo P Ca
1 2 1
Cartesian
0.0000 1.8696 2.3581 Mo
0.0000 0.0000 0.0000 P
1.8696 0.0000 2.3581 P
1.8696 1.8696 0.0000 Ca
```

SG: I-4m2 (119)

Most stable to least stable, the ends of the list are run P and run Q.

Run P
The following is a DFT calculation (PBEsol) of a relaxed structure of CaMo3P.

Structure (POSCAR):
```
CaMo3P
1.0
-1.7676 -0.6151 -4.1297
3.6408 -2.4223 -1.1976
-2.0438 -3.7830 1.4383
P Mo Ca
1 3 1
Cartesian
0.0000 0.0000 0.0000 P
-1.0219 -1.8915 0.7191 Mo
-0.8838 -0.3076 -2.0648 Mo
1.8204 -1.2111 -0.5988 Mo
-0.0853 -3.4102 -1.9445 Ca
```

SG: Pm-3m (221)

Run Q
The following is a DFT calculation (PBEsol) of a relaxed structure of CaMo3P.

Structure (POSCAR):
```
CaMo3P
1.0
4.5189 0.0000 0.0000
0.0000 4.5189 0.0000
0.0000 0.0000 4.5189
Ca Mo P
1 3 1
Cartesian
0.0000 0.0000 0.0000 Ca
0.0000 0.0000 2.2594 Mo
0.0000 2.2594 0.0000 Mo
2.2594 0.0000 0.0000 Mo
2.2594 2.2594 2.2594 P
```

SG: Pm-3m (221)

Most stable to least stable, the ends of the list are run P and run Q.

Run P
The following is a DFT calculation (PBEsol) of a relaxed structure of CaMoPt.

Structure (POSCAR):
```
CaMoPt
1.0
-1.8663 4.0027 -0.8887
-2.8747 1.8466 2.9361
1.2226 3.6312 2.3694
Ca Pt Mo
1 1 1
Cartesian
-2.6388 7.1104 3.3126 Ca
-1.7592 4.7403 2.2084 Pt
0.0000 0.0000 0.0000 Mo
```

SG: F-43m (216)

Run Q
The following is a DFT calculation (PBEsol) of a relaxed structure of CaMoPt.

Structure (POSCAR):
```
CaMoPt
1.0
-1.9277 -1.8937 3.4625
1.2495 -4.0085 1.2890
2.2293 -0.5053 3.7505
Mo Ca Pt
1 1 1
Cartesian
1.1633 -4.8057 6.3765 Mo
0.7755 -3.2038 4.2510 Ca
0.0000 0.0000 0.0000 Pt
```

SG: F-43m (216)

Run R
The following is a DFT calculation (PBEsol) of a relaxed structure of CaMoPt.

Structure (POSCAR):
```
CaMoPt
1.0
2.9390 0.0000 0.0000
0.0000 2.9390 0.0000
-1.4695 -1.4695 6.4519
Pt Mo Ca
1 1 1
Cartesian
1.4695 1.4695 2.3589 Pt
0.0000 0.0000 4.0040 Mo
0.0000 0.0000 0.0889 Ca
```

SG: I4mm (107)

Most stable to least stable, the ends of the list are run R and run P.